DFT (PBE) results for an optimized crystal structure of BaCa2InPd.

Summary:
As for the crystal system: tetragonal. The calculation puts the total energy at -3.08 eV per atom. The value obtained for the energy above the most stable polymorph in this dataset is 0.092 eV per atom.

Unit cell a=5.5986 b=5.5986 c=6.0756 alpha=90.00 beta=90.00 gamma=90.00
Fractional positions:
Ca 0.0000 0.5000 0.0000
Ca 0.5000 0.0000 0.0000
Pd 0.0000 0.0000 0.0000
In 0.5000 0.5000 0.5000
Ba 0.0000 0.0000 0.5000

DFT (PBE) results for an optimized crystal structure of Ba2CaIn3Pd4.

Summary:
As for the crystal system: tetragonal. The calculation puts the total energy at -4.09 eV per atom.

Unit cell a=4.8461 b=4.8461 c=11.1877 alpha=90.00 beta=90.00 gamma=90.00
Fractional positions:
Pd 0.5000 0.0000 0.6401
Pd 0.0000 0.5000 0.3599
Pd 0.5000 0.5000 0.0000
Pd 0.0000 0.0000 0.0000
Ca 0.5000 0.5000 0.5000
In 0.0000 0.5000 0.1136
In 0.5000 0.0000 0.8864
In 0.0000 0.0000 0.5000
Ba 0.0000 0.5000 0.7716
Ba 0.5000 0.0000 0.2284

DFT (PBE) results for an optimized crystal structure of Ba2CaInPd.

Summary:
As for the crystal system: tetragonal. The calculation puts the total energy at -3.02 eV per atom. The value obtained for the energy above the most stable polymorph in this dataset is 0.028 eV per atom.

Unit cell a=6.1929 b=6.1929 c=5.3338 alpha=90.00 beta=90.00 gamma=90.00
Fractional positions:
Ca 0.5000 0.5000 0.5000
Pd 0.0000 0.0000 0.0000
Ba 0.5000 0.0000 0.0000
Ba 0.0000 0.5000 0.0000
In 0.0000 0.0000 0.5000

DFT (PBE) results for an optimized crystal structure of BaCa2PmIn4.

Summary:
As for the crystal system: trigonal. The calculation puts the total energy at -3.13 eV per atom.

Unit cell a=5.5768 b=5.5768 c=9.8040 alpha=73.48 beta=73.48 gamma=60.00
Fractional positions:
In 0.6166 0.6166 0.1502
In 0.8722 0.8722 0.3833
In 0.1278 0.1278 0.6167
In 0.3834 0.3834 0.8498
Ca 0.2487 0.2487 0.2538
Ca 0.7513 0.7513 0.7462
Ba 0.0000 0.0000 0.0000
Pm 0.5000 0.5000 0.5000

The records above yield energy of formation values of -0.305; -0.608; -0.268; -0.430 eV per atom, respectively.